[1]
VASP calculation (PBE-GGA) on a relaxed Cs3Hg2Cl8 crystal.

Geometry as CIF:
```
data_Cs3Hg2Cl8
_chemical_formula_sum 'Cs9 Hg6 Cl24'
_space_group_name_H-M_alt 'R -3 m'
_space_group_IT_number 166
_space_group_name_Hall '-R 3 2"'
_cell_length_a 7.4518
_cell_length_b 7.4518
_cell_length_c 30.1963
_cell_angle_alpha 90.00
_cell_angle_beta 90.00
_cell_angle_gamma 120.00
loop_
_atom_site_label
_atom_site_fract_x
_atom_site_fract_y
_atom_site_fract_z
Cs1 0.0000 0.0000 0.0000
Cs2 0.0000 0.0000 0.2061
Hg1 0.0000 0.0000 0.4021
Cl1 0.0000 0.0000 0.3204
Cl2 0.0237 0.5118 0.7699
```

Properties
**D(E_F)**: 37.48 states/eV/cell
**Raw formation energy**: -1.166 eV/atom

***

[2]
VASP calculation (PBE-GGA) on a relaxed La2PdN crystal.

Geometry as CIF:
```
data_La2PdN
_chemical_formula_sum 'La8 Pd4 N4'
_space_group_name_H-M_alt 'I -4 2 d'
_space_group_IT_number 122
_space_group_name_Hall 'I -4 2bw'
_cell_length_a 6.921
_cell_length_b 6.921
_cell_length_c 8.418
_cell_angle_alpha 90.00
_cell_angle_beta 90.00
_cell_angle_gamma 90.00
loop_
_atom_site_label
_atom_site_fract_x
_atom_site_fract_y
_atom_site_fract_z
La1 0.183 0.250 0.125
Pd1 0.000 0.000 0.500
N1 0.000 0.000 0.000
```

Properties
**D(E_F)**: 8.08 states/eV/cell
**Raw formation energy**: -0.919 eV/atom

***

[3]
VASP calculation (PBE-GGA) on a relaxed MgSc4Zn3 crystal.

Geometry as CIF:
```
data_MgSc4Zn3
_chemical_formula_sum 'Mg3 Sc12 Zn9'
_space_group_name_H-M_alt 'R -3 m'
_space_group_IT_number 166
_space_group_name_Hall '-R 3 2"'
_cell_length_a 4.8120
_cell_length_b 4.8120
_cell_length_c 23.5891
_cell_angle_alpha 90.00
_cell_angle_beta 90.00
_cell_angle_gamma 120.00
loop_
_atom_site_label
_atom_site_fract_x
_atom_site_fract_y
_atom_site_fract_z
Mg1 0.0000 0.0000 0.0000
Sc1 0.0000 0.0000 0.1297
Sc2 0.0000 0.0000 0.3806
Zn1 0.0000 0.0000 0.2560
Zn2 0.0000 0.0000 0.5000
```

Properties
**D(E_F)**: 20.54 states/eV/cell
**DFT formation energy**: -0.28 eV/atom

***

[4]
VASP calculation (PBE-GGA) on a relaxed MnBe2Br crystal.

Geometry as CIF:
```
data_MnBe2Br
_chemical_formula_sum 'Mn2 Be4 Br2'
_space_group_name_H-M_alt 'C m m m'
_space_group_IT_number 65
_space_group_name_Hall '-C 2 2'
_cell_length_a 5.047
_cell_length_b 7.103
_cell_length_c 2.999
_cell_angle_alpha 90.00
_cell_angle_beta 90.00
_cell_angle_gamma 90.00
loop_
_atom_site_label
_atom_site_fract_x
_atom_site_fract_y
_atom_site_fract_z
Mn1 0.000 0.000 0.000
Be1 0.250 0.250 0.500
Br1 0.000 0.500 0.000
```

Properties
**D(E_F)**: 4.53 states/eV/cell
**Raw formation energy**: 0.687 eV/atom

***

[5]
VASP calculation (PBE-GGA) on a relaxed PmTl2Re3O12 crystal.

Geometry as CIF:
```
data_PmTl2Re3O12
_chemical_formula_sum 'Pm3 Tl6 Re9 O36'
_space_group_name_H-M_alt 'R -3 m'
_space_group_IT_number 166
_space_group_name_Hall '-R 3 2"'
_cell_length_a 7.4280
_cell_length_b 7.4280
_cell_length_c 19.0111
_cell_angle_alpha 90.00
_cell_angle_beta 90.00
_cell_angle_gamma 120.00
loop_
_atom_site_label
_atom_site_fract_x
_atom_site_fract_y
_atom_site_fract_z
Pm1 0.0000 0.0000 0.0000
Tl1 0.0000 0.0000 0.3438
Re1 0.0000 0.5000 0.5000
O1 0.0299 0.5150 0.5980
O2 0.0891 0.5446 0.8407
```

Properties
**D(E_F)**: 17.59 states/eV/cell
**Raw formation energy**: -1.676 eV/atom

***

[6]
VASP calculation (PBE-GGA) on a relaxed AgBi2 crystal.

Geometry as CIF:
```
data_AgBi2
_chemical_formula_sum 'Ag2 Bi4'
_space_group_name_H-M_alt 'C 1 2/m 1'
_space_group_IT_number 12
_cell_length_a 4.815
_cell_length_b 4.771
_cell_length_c 7.552
_cell_angle_alpha 90.00
_cell_angle_beta 103.48
_cell_angle_gamma 90.00
loop_
_space_group_symop_operation_xyz
'x,y,z'
'-x,-y,-z'
'-x,y,-z'
'x,-y,z'
'x+1/2,y+1/2,z'
'-x+1/2,-y+1/2,-z'
'-x+1/2,y+1/2,-z'
'x+1/2,-y+1/2,z'
loop_
_atom_site_label
_atom_site_fract_x
_atom_site_fract_y
_atom_site_fract_z
Ag1 0.000 0.000 0.000
Bi1 0.059 0.500 0.288
```

Properties
**D(E_F)**: 2.23 states/eV/cell
**DFT formation energy**: 0.08 eV/atom

***

[7]
VASP calculation (PBE-GGA) on a relaxed AcSnBi3 crystal.

Geometry as CIF:
```
data_AcSnBi3
_chemical_formula_sum 'Ac2 Sn2 Bi6'
_space_group_name_H-M_alt 'C 1 2/m 1'
_space_group_IT_number 12
_cell_length_a 9.151
_cell_length_b 9.105
_cell_length_c 6.906
_cell_angle_alpha 90.00
_cell_angle_beta 130.29
_cell_angle_gamma 90.00
loop_
_space_group_symop_operation_xyz
'x,y,z'
'-x,-y,-z'
'-x,y,-z'
'x,-y,z'
'x+1/2,y+1/2,z'
'-x+1/2,-y+1/2,-z'
'-x+1/2,y+1/2,-z'
'x+1/2,-y+1/2,z'
loop_
_atom_site_label
_atom_site_fract_x
_atom_site_fract_y
_atom_site_fract_z
Ac1 0.000 0.000 0.000
Sn1 0.000 0.500 0.500
Bi1 0.000 0.000 0.500
Bi2 0.250 0.250 0.500
```

Properties
**D(E_F)**: 8.73 states/eV/cell
**DFT formation energy**: -0.07 eV/atom

***

[8]
VASP calculation (PBE-GGA) on a relaxed LaTiTl2 crystal.

Geometry as CIF:
```
data_LaTiTl2
_chemical_formula_sum 'La4 Ti4 Tl8'
_space_group_name_H-M_alt 'F m -3 m'
_space_group_IT_number 225
_space_group_name_Hall '-F 4 2 3'
_cell_length_a 7.470
_cell_length_b 7.470
_cell_length_c 7.470
_cell_angle_alpha 90.00
_cell_angle_beta 90.00
_cell_angle_gamma 90.00
loop_
_atom_site_label
_atom_site_fract_x
_atom_site_fract_y
_atom_site_fract_z
La1 0.000 0.000 0.000
Ti1 0.000 0.000 0.500
Tl1 0.250 0.250 0.250
```

Properties
**D(E_F)**: 35.31 states/eV/cell
**DFT formation energy**: 0.00 eV/atom

***

[9]
VASP calculation (PBE-GGA) on a relaxed PrB2Pt6 crystal.

Geometry as CIF:
```
data_PrB2Pt6
_chemical_formula_sum 'Pr1 B2 Pt6'
_space_group_name_H-M_alt 'P 6/m m m'
_space_group_IT_number 191
_space_group_name_Hall '-P 6 2'
_cell_length_a 5.6570
_cell_length_b 5.6570
_cell_length_c 5.5624
_cell_angle_alpha 90.00
_cell_angle_beta 90.00
_cell_angle_gamma 120.00
loop_
_atom_site_label
_atom_site_fract_x
_atom_site_fract_y
_atom_site_fract_z
Pr1 0.0000 0.0000 0.0000
B1 0.3333 0.6667 0.5000
Pt1 0.0000 0.5000 0.2472
```

Properties
**D(E_F)**: 2.79 states/eV/cell
**DFT formation energy**: -0.69 eV/atom

***

[10]
VASP calculation (PBE-GGA) on a relaxed Nb3Ir3Rh2 crystal.

Geometry as CIF:
```
data_Nb3Ir3Rh2
_chemical_formula_sum 'Nb6 Ir6 Rh4'
_space_group_name_H-M_alt 'I m m m'
_space_group_IT_number 71
_space_group_name_Hall '-I 2 2'
_cell_length_a 3.903
_cell_length_b 3.962
_cell_length_c 16.203
_cell_angle_alpha 90.00
_cell_angle_beta 90.00
_cell_angle_gamma 90.00
loop_
_atom_site_label
_atom_site_fract_x
_atom_site_fract_y
_atom_site_fract_z
Nb1 0.000 0.000 0.000
Nb2 0.000 0.500 0.132
Ir1 0.000 0.000 0.500
Ir2 0.000 0.500 0.374
Rh1 0.000 0.000 0.250
```

Properties
**D(E_F)**: 16.38 states/eV/cell
**DFT formation energy**: -0.48 eV/atom

***

[11]
VASP calculation (PBE-GGA) on a relaxed La3Cd2Hg2 crystal.

Geometry as CIF:
```
data_La3Cd2Hg2
_chemical_formula_sum 'La6 Cd4 Hg4'
_space_group_name_H-M_alt 'C 1 2/m 1'
_space_group_IT_number 12
_cell_length_a 9.116
_cell_length_b 5.262
_cell_length_c 8.984
_cell_angle_alpha 90.00
_cell_angle_beta 109.66
_cell_angle_gamma 90.00
loop_
_space_group_symop_operation_xyz
'x,y,z'
'-x,-y,-z'
'-x,y,-z'
'x,-y,z'
'x+1/2,y+1/2,z'
'-x+1/2,-y+1/2,-z'
'-x+1/2,y+1/2,-z'
'x+1/2,-y+1/2,z'
loop_
_atom_site_label
_atom_site_fract_x
_atom_site_fract_y
_atom_site_fract_z
La1 0.000 0.000 0.000
La2 0.065 0.500 0.696
Cd1 0.167 0.000 0.501
Hg1 0.205 0.500 0.114
```

Properties
**D(E_F)**: 11.32 states/eV/cell
**DFT formation energy**: -0.40 eV/atom

***

[12]
VASP calculation (PBE-GGA) on a relaxed Ca3Tb2TmSe6 crystal.

Geometry as CIF:
```
data_Ca3Tb2TmSe6
_chemical_formula_sum 'Ca6 Tb4 Tm2 Se12'
_space_group_name_H-M_alt 'C 1 2/m 1'
_space_group_IT_number 12
_cell_length_a 7.114
_cell_length_b 12.305
_cell_length_c 7.224
_cell_angle_alpha 90.00
_cell_angle_beta 109.20
_cell_angle_gamma 90.00
loop_
_space_group_symop_operation_xyz
'x,y,z'
'-x,-y,-z'
'-x,y,-z'
'x,-y,z'
'x+1/2,y+1/2,z'
'-x+1/2,-y+1/2,-z'
'-x+1/2,y+1/2,-z'
'x+1/2,-y+1/2,z'
loop_
_atom_site_label
_atom_site_fract_x
_atom_site_fract_y
_atom_site_fract_z
Ca1 0.000 0.000 0.000
Ca2 0.000 0.332 0.000
Tb1 0.000 0.166 0.500
Tm1 0.000 0.500 0.500
Se1 0.246 0.336 0.745
Se2 0.247 0.500 0.254
```

Properties
**D(E_F)**: 8.78 states/eV/cell
**Raw formation energy**: -1.868 eV/atom